Here is crystalline Al2CdPb at its relaxed geometry from the Alexandria database. Energies are from PBEsol.

The structure belongs to space group Pmmm (No. 47); the cell edges are 3.483, 4.991 and 5.085 Å and the angles 90.00°, 90.00° and 90.00°. The asymmetric unit holds Al at (0.000, 0.000, 0.000), Al at (0.500, 0.000, 0.500), Cd at (0.000, 0.500, 0.500) and Pb at (0.500, 0.500, 0.000).

The total energy is -3.06 eV per atom. For the density of states at the Fermi level, the calculation gives 0.44 states/eV/atom. The value obtained for the formation energy is 280 meV per atom.

***

Here is crystalline Al2CdPb at its relaxed geometry from the Alexandria database. Energies are from PBEsol.

The structure belongs to space group R-3m (No. 166, hexagonal axes); the cell edges are 3.1981, 3.1981 and 29.5965 Å and the angles 90.00°, 90.00° and 120.00°. The asymmetric unit holds Al at (0.0000, 0.0000, 0.2439), Cd at (0.0000, 0.0000, 0.5000) and Pb at (0.0000, 0.0000, 0.0000).

The total energy is -3.12 eV per atom. For the density of states at the Fermi level, the calculation gives 0.40 states/eV/atom. The value obtained for the formation energy is 228 meV per atom.

***

Here is crystalline AlCdPb at its relaxed geometry from the Alexandria database. Energies are from PBEsol.

The structure belongs to space group F-43m (No. 216); the cell edges are 6.775, 6.775 and 6.775 Å and the angles 90.00°, 90.00° and 90.00°. The asymmetric unit holds Al at (0.000, 0.000, 0.000), Cd at (0.250, 0.250, 0.750) and Pb at (0.000, 0.000, 0.500).

The total energy is -2.81 eV per atom. For the density of states at the Fermi level, the calculation gives 0.41 states/eV/atom. The value obtained for the formation energy is 287 meV per atom.

***

Here is crystalline AlCdPb at its relaxed geometry from the Alexandria database. Energies are from PBEsol.

The structure belongs to space group P3m1 (No. 156); the cell edges are 4.8064, 4.8064 and 3.5623 Å and the angles 90.00°, 90.00° and 120.00°. The asymmetric unit holds Al at (0.0000, 0.0000, 0.0000), Cd at (0.3333, 0.6667, 0.0089) and Pb at (0.6667, 0.3333, 0.5047).

The total energy is -2.89 eV per atom. For the density of states at the Fermi level, the calculation gives 0.49 states/eV/atom. The value obtained for the formation energy is 205 meV per atom.

***

Here is crystalline Al2CdPb at its relaxed geometry from the Alexandria database. Energies are from PBEsol.

The structure belongs to space group P4mm (No. 99); the cell edges are 3.210, 3.210 and 8.317 Å and the angles 90.00°, 90.00° and 90.00°. The asymmetric unit holds Al at (0.000, 0.000, 0.000), Al at (0.500, 0.500, 0.196), Cd at (0.500, 0.500, 0.769) and Pb at (0.000, 0.000, 0.470).

The total energy is -3.18 eV per atom. For the density of states at the Fermi level, the calculation gives 0.52 states/eV/atom. The value obtained for the formation energy is 164 meV per atom.

***

Here is crystalline Al2CdPb at its relaxed geometry from the Alexandria database. Energies are from PBEsol.

The structure belongs to space group Cm (No. 8); the cell edges are 8.956, 3.171 and 6.298 Å and the angles 90.00°, 98.95° and 90.00°. The asymmetric unit holds Al at (0.000, 0.000, 0.000), Al at (0.238, 0.500, 0.185), Cd at (0.257, 0.000, 0.777) and Pb at (0.496, 0.000, 0.472).

The total energy is -3.14 eV per atom. For the density of states at the Fermi level, the calculation gives 0.46 states/eV/atom. The value obtained for the formation energy is 201 meV per atom.

***

Here is crystalline Al3CdPb at its relaxed geometry from the Alexandria database. Energies are from PBEsol.

The structure belongs to space group Pm-3m (No. 221); the cell edges are 5.030, 5.030 and 5.030 Å and the angles 90.00°, 90.00° and 90.00°. The asymmetric unit holds Al at (0.000, 0.000, 0.500), Cd at (0.000, 0.000, 0.000) and Pb at (0.500, 0.500, 0.500).

The total energy is -2.82 eV per atom. For the density of states at the Fermi level, the calculation gives 0.55 states/eV/atom. The value obtained for the formation energy is 673 meV per atom.

***

Here is crystalline Y2AlCdPb at its relaxed geometry from the Alexandria database. Energies are from PBEsol.

The structure belongs to space group P4/mmm (No. 123); the cell edges are 5.556, 5.556 and 4.756 Å and the angles 90.00°, 90.00° and 90.00°. The asymmetric unit holds Y at (0.000, 0.500, 0.000), Al at (0.000, 0.000, 0.500), Cd at (0.000, 0.000, 0.000) and Pb at (0.500, 0.500, 0.500).

The total energy is -4.40 eV per atom. For the density of states at the Fermi level, the calculation gives 0.61 states/eV/atom. The value obtained for the formation energy is 187 meV per atom.

***

Here is crystalline TiAl2CdPd at its relaxed geometry from the Alexandria database. Energies are from PBEsol.

The structure belongs to space group P4/mmm (No. 123); the cell edges are 4.636, 4.636 and 4.858 Å and the angles 90.00°, 90.00° and 90.00°. The asymmetric unit holds Ti at (0.000, 0.000, 0.000), Al at (0.000, 0.500, 0.500), Cd at (0.500, 0.500, 0.000) and Pd at (0.000, 0.000, 0.500).

The total energy is -4.55 eV per atom. For the density of states at the Fermi level, the calculation gives 0.79 states/eV/atom. The value obtained for the formation energy is 181 meV per atom.

***

Here is crystalline Al2CdPt at its relaxed geometry from the Alexandria database. Energies are from PBEsol.

The structure belongs to space group P4/mmm (No. 123); the cell edges are 4.099, 4.099 and 3.787 Å and the angles 90.00°, 90.00° and 90.00°. The asymmetric unit holds Al at (0.000, 0.500, 0.000), Cd at (0.000, 0.000, 0.500) and Pt at (0.500, 0.500, 0.500).

The total energy is -4.39 eV per atom. For the density of states at the Fermi level, the calculation gives 0.31 states/eV/atom. The value obtained for the formation energy is -304 meV per atom.

***

Here is crystalline AlCd2Pt at its relaxed geometry from the Alexandria database. Energies are from PBEsol.

The structure belongs to space group Cm (No. 8); the cell edges are 9.266, 3.010 and 5.050 Å and the angles 90.00°, 101.26° and 90.00°. The asymmetric unit holds Al at (0.000, 0.000, 0.000), Cd at (0.241, 0.000, 0.707), Cd at (0.479, 0.000, 0.460) and Pt at (0.225, 0.500, 0.180).

The total energy is -3.60 eV per atom. For the density of states at the Fermi level, the calculation gives 0.27 states/eV/atom. The value obtained for the formation energy is -234 meV per atom.

***

Here is crystalline AlCd2Pt at its relaxed geometry from the Alexandria database. Energies are from PBEsol.

The structure belongs to space group R3m (No. 160, hexagonal axes); the cell edges are 3.0125, 3.0125 and 27.0209 Å and the angles 90.00°, 90.00° and 120.00°. The asymmetric unit holds Al at (0.0000, 0.0000, 0.0000), Cd at (0.0000, 0.0000, 0.2454), Cd at (0.0000, 0.0000, 0.4850) and Pt at (0.0000, 0.0000, 0.7338).

The total energy is -3.60 eV per atom. For the density of states at the Fermi level, the calculation gives 0.34 states/eV/atom. The value obtained for the formation energy is -235 meV per atom.

***

Here is crystalline AlCdPt at its relaxed geometry from the Alexandria database. Energies are from PBEsol.

The structure belongs to space group I4mm (No. 107); the cell edges are 2.959, 2.959 and 11.397 Å and the angles 90.00°, 90.00° and 90.00°. The asymmetric unit holds Al at (0.000, 0.000, 0.000), Cd at (0.000, 0.000, 0.309) and Pt at (0.000, 0.000, 0.627).

The total energy is -4.52 eV per atom. For the density of states at the Fermi level, the calculation gives 0.31 states/eV/atom. The value obtained for the formation energy is -434 meV per atom.

***

Here is crystalline AlCdTcPt2 at its relaxed geometry from the Alexandria database. Energies are from PBEsol.

The structure belongs to space group P4/mmm (No. 123); the cell edges are 4.484, 4.484 and 4.725 Å and the angles 90.00°, 90.00° and 90.00°. The asymmetric unit holds Al at (0.000, 0.000, 0.000), Cd at (0.000, 0.000, 0.500), Tc at (0.500, 0.500, 0.500) and Pt at (0.000, 0.500, 0.000).

The total energy is -5.10 eV per atom. For the density of states at the Fermi level, the calculation gives 0.77 states/eV/atom. The value obtained for the formation energy is 1000 meV per atom.

***

Here is crystalline RbAlCd2 at its relaxed geometry from the Alexandria database. Energies are from PBEsol.

The structure belongs to space group I4_1/amd (No. 141, origin choice 2); the cell edges are 5.815, 5.815 and 17.521 Å and the angles 90.00°, 90.00° and 90.00°. The asymmetric unit holds Rb at (0.000, 0.250, 0.375), Al at (0.000, 0.250, 0.875) and Cd at (0.000, 0.000, 0.000).

The total energy is -1.65 eV per atom. For the density of states at the Fermi level, the calculation gives 0.53 states/eV/atom. The value obtained for the formation energy is 231 meV per atom.